Density functional theory data (PBE+U) for a relaxed NiGeBi2O crystal.

Properties
The value obtained for the total energy is -3.30 eV/atom. The value obtained for the density of states at the Fermi level is 2.99 states/eV per cell.

abc: 5.1331 5.1331 4.2773
angles: 90.00 90.00 90.00
With the nearest neighbours (Å) after each atom.
Space group P4/mmm (No. 123)
Asymmetric unit:
Ni: 0.0000 0.0000 0.0000 [1 per cell]  2 Ge 2.14
Ge: 0.0000 0.0000 0.5000 [1 per cell]  2 Ni 2.14
Bi: 0.0000 0.5000 0.0000 [2 per cell]  2 Ni 2.57
O: 0.5000 0.5000 0.5000 [1 per cell]  8 Bi 3.34, 4 Ge 3.63